# 1
DFT (PBEsol) results for a relaxed structure of SbRuBr2.

Cell lengths 3.494, 4.786, 4.786 Å; angles 90.00, 90.00, 90.00 degrees
Fractional coordinates of all 4 atoms:
1 Sb 0.500 0.000 0.000
2 Br 0.000 0.000 0.500
3 Br 0.000 0.500 0.000
4 Ru 0.500 0.500 0.500

- DFT total energy: -15.181 eV per cell
- Formation energy without anion corrections: 3.29 eV/f.u.

***

# 2
DFT (PBEsol) results for a relaxed structure of Sb2RuBr.

Cell lengths 3.155, 4.671, 6.604 Å; angles 110.71, 103.82, 90.00 degrees
Fractional coordinates of all 4 atoms:
1 Sb 0.816 0.816 0.632
2 Sb 0.184 0.184 0.368
3 Br 0.000 0.500 0.000
4 Ru 0.500 0.000 0.000

- DFT total energy: -20.209 eV per cell
- Formation energy without anion corrections: 0.95 eV/f.u.

***

# 3
DFT (PBEsol) results for a relaxed structure of SbRuSeBr2.

Cell lengths 4.781, 4.927, 4.927 Å; angles 90.00, 90.00, 90.00 degrees
Fractional coordinates of all 5 atoms:
1 Sb 0.500 0.500 0.500
2 Se 0.500 0.000 0.000
3 Br 0.000 0.000 0.500
4 Br 0.000 0.500 0.000
5 Ru 0.000 0.000 0.000

- DFT total energy: -20.863 eV per cell
- Formation energy without anion corrections: 1.46 eV/f.u.

***

# 4
DFT (PBEsol) results for a relaxed structure of Zr2SbRuBr.

Cell lengths 4.510, 4.905, 4.905 Å; angles 90.00, 90.00, 90.00 degrees
Fractional coordinates of all 5 atoms:
1 Sb 0.500 0.500 0.500
2 Br 0.000 0.000 0.000
3 Zr 0.000 0.000 0.500
4 Zr 0.000 0.500 0.000
5 Ru 0.500 0.000 0.000

- DFT total energy: -32.915 eV per cell
- Formation energy without anion corrections: 1.86 eV/f.u.

***

# 5
DFT (PBEsol) results for a relaxed structure of Sc19Ru4Br28.

Cell lengths 10.922, 10.922, 10.922 Å; angles 89.15, 89.15, 89.15 degrees
Fractional coordinates of all 51 atoms:
1 Sc 0.115 0.115 0.326
2 Sc 0.326 0.115 0.115
3 Sc 0.115 0.326 0.115
4 Sc 0.884 0.884 0.328
5 Sc 0.671 0.886 0.118
6 Sc 0.886 0.671 0.118
7 Sc 0.886 0.118 0.671
8 Sc 0.671 0.118 0.886
9 Sc 0.884 0.328 0.884
10 Sc 0.118 0.886 0.671
11 Sc 0.328 0.884 0.884
12 Sc 0.118 0.671 0.886
13 Sc 0.864 0.864 0.864
14 Sc 0.136 0.136 0.860
15 Sc 0.136 0.860 0.136
16 Sc 0.860 0.136 0.136
17 Sc 0.623 0.623 0.385
18 Sc 0.623 0.385 0.623
19 Sc 0.385 0.623 0.623
20 Ru 0.096 0.096 0.096
21 Ru 0.900 0.900 0.099
22 Ru 0.900 0.099 0.900
23 Ru 0.099 0.900 0.900
24 Br 0.128 0.128 0.600
25 Br 0.600 0.128 0.128
26 Br 0.128 0.600 0.128
27 Br 0.873 0.873 0.605
28 Br 0.397 0.868 0.125
29 Br 0.868 0.397 0.125
30 Br 0.868 0.125 0.397
31 Br 0.397 0.125 0.868
32 Br 0.873 0.605 0.873
33 Br 0.125 0.868 0.397
34 Br 0.605 0.873 0.873
35 Br 0.125 0.397 0.868
36 Br 0.632 0.632 0.632
37 Br 0.383 0.383 0.634
38 Br 0.383 0.634 0.383
39 Br 0.634 0.383 0.383
40 Br 0.355 0.355 0.108
41 Br 0.108 0.355 0.355
42 Br 0.355 0.108 0.355
43 Br 0.636 0.636 0.134
44 Br 0.874 0.634 0.369
45 Br 0.634 0.874 0.369
46 Br 0.634 0.369 0.874
47 Br 0.874 0.369 0.634
48 Br 0.636 0.134 0.636
49 Br 0.369 0.634 0.874
50 Br 0.134 0.636 0.636
51 Br 0.369 0.874 0.634

- DFT total energy: -290.603 eV per cell
- Formation energy without anion corrections: -72.06 eV/f.u.

***

# 6
DFT (PBEsol) results for a relaxed structure of Sc2RuBr.

Cell lengths 3.146, 3.146, 8.914 Å; angles 90.00, 90.00, 112.40 degrees
Fractional coordinates of all 4 atoms:
1 Br 0.000 0.000 0.514
2 Ru 0.500 0.500 0.223
3 Sc 0.000 0.000 0.030
4 Sc 0.500 0.500 0.733

- DFT total energy: -25.505 eV per cell
- Formation energy without anion corrections: -0.25 eV/f.u.

***

# 7
DFT (PBEsol) results for a relaxed structure of RuSe2Br.

Cell lengths 2.989, 4.768, 6.111 Å; angles 112.96, 104.15, 90.00 degrees
Fractional coordinates of all 4 atoms:
1 Br 0.500 0.000 0.000
2 Ru 0.000 0.500 0.000
3 Se 0.685 0.685 0.371
4 Se 0.315 0.315 0.629

- DFT total energy: -18.889 eV per cell
- Formation energy without anion corrections: 0.85 eV/f.u.

***

# 8
DFT (PBEsol) results for a relaxed structure of Ru2SeBr.

Cell lengths 3.049, 4.042, 6.722 Å; angles 83.02, 76.89, 67.84 degrees
Fractional coordinates of all 4 atoms:
1 Br 0.500 0.500 0.500
2 Ru 0.138 0.557 0.167
3 Ru 0.862 0.443 0.833
4 Se 0.500 0.000 0.000

- DFT total energy: -24.761 eV per cell
- Formation energy without anion corrections: 1.30 eV/f.u.

***

# 9
DFT (PBEsol) results for a relaxed structure of RuSe2Br.

Cell lengths 3.750, 3.745, 7.861 Å; angles 103.96, 90.00, 120.05 degrees
Fractional coordinates of all 4 atoms:
1 Br 0.000 0.000 0.000
2 Ru 0.500 0.000 0.500
3 Se 0.113 0.226 0.343
4 Se 0.887 0.774 0.657

- DFT total energy: -20.346 eV per cell
- Formation energy without anion corrections: -0.60 eV/f.u.

***

# 10
DFT (PBEsol) results for a relaxed structure of RuSeBr3.

Cell lengths 5.224, 5.224, 5.224 Å; angles 90.00, 90.00, 90.00 degrees
Fractional coordinates of all 5 atoms:
1 Ru 0.500 0.500 0.500
2 Se 0.000 0.000 0.000
3 Br 0.000 0.500 0.000
4 Br 0.000 0.000 0.500
5 Br 0.500 0.000 0.000

- DFT total energy: -14.251 eV per cell
- Formation energy without anion corrections: 5.38 eV/f.u.

***

# 11
DFT (PBEsol) results for a relaxed structure of Ru2SeBr.

Cell lengths 2.963, 2.963, 9.360 Å; angles 80.89, 80.89, 60.00 degrees
Fractional coordinates of all 4 atoms:
1 Br 0.268 0.268 0.195
2 Ru 0.006 0.006 0.983
3 Ru 0.747 0.747 0.758
4 Se 0.479 0.479 0.563

- DFT total energy: -24.781 eV per cell
- Formation energy without anion corrections: 1.28 eV/f.u.

***

# 12
DFT (PBEsol) results for a relaxed structure of Ru2SeBr.

Cell lengths 3.082, 3.082, 6.539 Å; angles 90.00, 90.00, 90.00 degrees
Fractional coordinates of all 4 atoms:
1 Br 0.500 0.500 0.500
2 Ru 0.000 0.000 0.786
3 Ru 0.000 0.000 0.214
4 Se 0.500 0.500 0.000

- DFT total energy: -23.876 eV per cell
- Formation energy without anion corrections: 2.19 eV/f.u.

***

What is the formation energy without anion corrections in the eleventh record? 1.28 eV/f.u.

***

Repeat the second record exactly.
DFT (PBEsol) results for a relaxed structure of Sb2RuBr.

Cell lengths 3.155, 4.671, 6.604 Å; angles 110.71, 103.82, 90.00 degrees
Fractional coordinates of all 4 atoms:
1 Sb 0.816 0.816 0.632
2 Sb 0.184 0.184 0.368
3 Br 0.000 0.500 0.000
4 Ru 0.500 0.000 0.000

- DFT total energy: -20.209 eV per cell
- Formation energy without anion corrections: 0.95 eV/f.u.

***

Which value of DFT total energy does entry 4 give? -32.915 eV per cell